Record 1
An optimized crystal structure of AgH3O2. Source: OQMD, functional PBE.

POSCAR file:
```
AgH3O2
1.0
3.799 -4.858 0.000
3.799 4.858 0.000
-1.061 0.000 2.920
Ag H O
2 6 4
direct
0.148 0.852 0.000
0.852 0.148 0.000
0.254 0.254 0.713
0.287 0.506 0.299
0.494 0.713 0.701
0.506 0.287 0.299
0.713 0.494 0.701
0.746 0.746 0.287
0.251 0.251 0.026
0.329 0.671 0.500
0.671 0.329 0.500
0.749 0.749 0.974
```

crystal system = monoclinic
excess energy over the best structure of this formula in the dataset = 0.000 eV per atom
VASP energy = -4.51 eV per atom

Record 2
An optimized crystal structure of AgHO. Source: OQMD, functional PBE.

POSCAR file:
```
AgHO
1.0
4.444 0.000 0.000
0.000 4.444 0.000
0.000 0.000 3.330
Ag H O
2 2 2
direct
0.250 0.750 0.000
0.750 0.250 0.000
0.250 0.250 0.462
0.750 0.750 0.538
0.250 0.250 0.757
0.750 0.750 0.243
```

crystal system = tetragonal
VASP energy = -4.13 eV per atom

Record 3
An optimized crystal structure of Ag2P2H2O7. Source: OQMD, functional PBE.

POSCAR file:
```
Ag2P2H2O7
1.0
0.000 6.153 13.833
3.493 0.000 13.833
3.493 6.153 0.000
Ag P H O
8 8 8 28
direct
0.132 0.217 0.334
0.183 0.666 0.783
0.217 0.132 0.817
0.334 0.817 0.132
0.666 0.183 0.868
0.783 0.868 0.183
0.817 0.334 0.217
0.868 0.783 0.666
0.146 0.749 0.317
0.251 0.854 0.712
0.288 0.317 0.749
0.317 0.288 0.146
0.683 0.712 0.854
0.712 0.683 0.251
0.749 0.146 0.288
0.854 0.251 0.683
0.195 0.555 0.195
0.260 0.260 0.490
0.445 0.805 0.445
0.490 0.490 0.260
0.510 0.510 0.740
0.555 0.195 0.555
0.740 0.740 0.510
0.805 0.445 0.805
0.021 0.809 0.550
0.028 0.028 0.722
0.119 0.550 0.809
0.131 0.533 0.257
0.191 0.979 0.881
0.240 0.275 0.669
0.257 0.579 0.131
0.275 0.240 0.316
0.278 0.278 0.972
0.316 0.669 0.275
0.331 0.684 0.760
0.421 0.743 0.467
0.450 0.881 0.979
0.467 0.869 0.421
0.533 0.131 0.579
0.550 0.119 0.021
0.579 0.257 0.533
0.669 0.316 0.240
0.684 0.331 0.725
0.722 0.722 0.028
0.725 0.760 0.684
0.743 0.421 0.869
0.760 0.725 0.331
0.809 0.021 0.119
0.869 0.467 0.743
0.881 0.450 0.191
0.972 0.972 0.278
0.979 0.191 0.450
```

crystal system = orthorhombic
VASP energy = -5.89 eV per atom

Record 4
An optimized crystal structure of Ag2TeH4O6. Source: OQMD, functional PBE.

POSCAR file:
```
Ag2TeH4O6
1.0
0.000 9.228 4.398
3.222 0.000 4.398
3.222 9.228 0.000
Ag Te H O
4 2 8 12
direct
0.395 0.605 0.449
0.605 0.395 0.551
0.699 0.801 0.645
0.801 0.699 0.855
0.236 0.236 0.264
0.986 0.986 0.014
0.181 0.192 0.052
0.192 0.181 0.575
0.198 0.675 0.069
0.238 0.762 0.278
0.528 0.972 0.488
0.675 0.198 0.058
0.762 0.238 0.722
0.972 0.528 0.012
0.138 0.332 0.533
0.160 0.608 0.253
0.253 0.717 0.918
0.271 0.997 0.642
0.292 0.860 0.300
0.332 0.138 0.997
0.608 0.160 0.979
0.702 0.950 0.390
0.717 0.253 0.112
0.860 0.292 0.548
0.950 0.702 0.958
0.997 0.271 0.090
```

crystal system = orthorhombic
VASP energy = -4.77 eV per atom

Record 5
An optimized crystal structure of AgH6OsPd. Source: OQMD, functional PBE.

POSCAR file:
```
AgH6OsPd
1.0
0.000 3.235 3.235
3.235 0.000 3.235
3.235 3.235 0.000
Ag H Os Pd
1 6 1 1
direct
0.000 0.000 0.000
0.022 0.022 0.478
0.022 0.478 0.022
0.022 0.478 0.478
0.478 0.022 0.022
0.478 0.022 0.478
0.478 0.478 0.022
0.500 0.500 0.500
0.750 0.750 0.750
```

crystal system = cubic
total moment = 0.2 μB per formula unit
VASP energy = -3.78 eV per atom

Record 6
An optimized crystal structure of Sr2AgH6Os. Source: OQMD, functional PBE.

POSCAR file:
```
Sr2AgH6Os
1.0
0.000 3.882 3.882
3.882 0.000 3.882
3.882 3.882 0.000
Sr Ag H Os
2 1 6 1
direct
0.250 0.250 0.250
0.750 0.750 0.750
0.000 0.000 0.000
0.274 0.274 0.726
0.274 0.726 0.274
0.274 0.726 0.726
0.726 0.274 0.274
0.726 0.274 0.726
0.726 0.726 0.274
0.500 0.500 0.500
```

crystal system = cubic
total moment = 0.0 μB per formula unit
VASP energy = -4.14 eV per atom